A plane-wave DFT calculation with PBE-GGA was carried out for an optimized crystal structure of Cs2Hg4Au.

Unit cell a=7.169 b=7.169 c=11.508 alpha=90.00 beta=90.00 gamma=90.00
Positions (direct):
Cs 0.000 0.500 0.250
Cs 0.000 0.500 0.750
Cs 0.500 0.000 0.250
Cs 0.500 0.000 0.750
Hg 0.217 0.217 0.000
Hg 0.217 0.783 0.000
Hg 0.283 0.283 0.500
Hg 0.283 0.717 0.500
Hg 0.717 0.283 0.500
Hg 0.717 0.717 0.500
Hg 0.783 0.217 0.000
Hg 0.783 0.783 0.000
Au 0.000 0.000 0.500
Au 0.500 0.500 0.000

* SG: I4/mmm
* offset from the most stable computed form: 0.053 eV per atom
* calculated volume: 42.24 A^3/atom
* energy of formation: -185.5 meV/atom
* VASP energy: -1.07 eV per atom
* mass density: 7.105 Mg/m³
* size of the total moment: 0.000 Bohr magnetons per cell



A plane-wave DFT calculation with PBE-GGA was carried out for an optimized crystal structure of CsHg4Au2.

Unit cell a=9.276 b=9.276 c=4.590 alpha=90.00 beta=90.00 gamma=90.00
Positions (direct):
Cs 0.000 0.000 0.000
Cs 0.500 0.500 0.500
Hg 0.079 0.332 0.500
Hg 0.168 0.579 0.000
Hg 0.332 0.079 0.500
Hg 0.421 0.832 0.000
Hg 0.579 0.168 0.000
Hg 0.668 0.921 0.500
Hg 0.832 0.421 0.000
Hg 0.921 0.668 0.500
Au 0.226 0.774 0.500
Au 0.274 0.274 0.000
Au 0.726 0.726 0.000
Au 0.774 0.226 0.500

* SG: P4_2/mnm
* offset from the most stable computed form: 0.024 eV per atom
* calculated volume: 28.21 A^3/atom
* energy of formation: -113.0 meV/atom
* VASP energy: -1.34 eV per atom
* mass density: 11.177 Mg/m³
* size of the total moment: 0.000 Bohr magnetons per cell



A plane-wave DFT calculation with PBE-GGA was carried out for an optimized crystal structure of CsHg4Au3.

Unit cell a=8.019 b=8.019 c=8.019 alpha=90.00 beta=90.00 gamma=90.00
Positions (direct):
Cs 0.000 0.000 0.000
Cs 0.500 0.500 0.500
Hg 0.250 0.250 0.250
Hg 0.250 0.250 0.750
Hg 0.250 0.750 0.250
Hg 0.250 0.750 0.750
Hg 0.750 0.250 0.250
Hg 0.750 0.250 0.750
Hg 0.750 0.750 0.250
Hg 0.750 0.750 0.750
Au 0.000 0.250 0.500
Au 0.000 0.750 0.500
Au 0.250 0.500 0.000
Au 0.500 0.000 0.250
Au 0.500 0.000 0.750
Au 0.750 0.500 0.000

* SG: Pm-3n
* calculated volume: 32.23 A^3/atom
* energy of formation: 67.4 meV/atom
* VASP energy: -1.42 eV per atom
* mass density: 9.829 Mg/m³
* size of the total moment: 0.000 Bohr magnetons per cell



A plane-wave DFT calculation with PBE-GGA was carried out for an optimized crystal structure of Cs2Hg5Au2.

Unit cell a=11.970 b=11.970 c=11.970 alpha=55.53 beta=137.07 gamma=146.48
Positions (direct):
Cs 0.087 0.143 0.230
Cs 0.087 0.357 0.444
Cs 0.913 0.643 0.556
Cs 0.913 0.857 0.770
Hg 0.000 0.261 0.761
Hg 0.000 0.500 0.999
Hg 0.000 0.739 0.239
Hg 0.380 0.630 0.010
Hg 0.380 0.870 0.250
Hg 0.500 0.239 0.239
Hg 0.500 0.761 0.761
Hg 0.501 0.000 0.001
Hg 0.620 0.130 0.750
Hg 0.620 0.370 0.990
Au 0.442 0.247 0.695
Au 0.500 0.000 0.500
Au 0.500 0.500 0.000
Au 0.552 0.747 0.305

* SG: Ima2
* offset from the most stable computed form: 0.006 eV per atom
* calculated volume: 35.58 A^3/atom
* energy of formation: -201.7 meV/atom
* VASP energy: -1.29 eV per atom
* mass density: 8.622 Mg/m³
* size of the total moment: 0.000 Bohr magnetons per cell



A plane-wave DFT calculation with PBE-GGA was carried out for an optimized crystal structure of Cs8Hg2Au.

Unit cell a=10.279 b=10.279 c=8.949 alpha=105.40 beta=105.40 gamma=71.26
Positions (direct):
Cs 0.077 0.077 0.277
Cs 0.155 0.557 0.252
Cs 0.370 0.370 0.751
Cs 0.443 0.845 0.748
Cs 0.557 0.155 0.252
Cs 0.630 0.630 0.249
Cs 0.845 0.443 0.748
Cs 0.923 0.923 0.723
Hg 0.181 0.181 0.939
Hg 0.819 0.819 0.061
Au 0.500 0.500 0.500

* SG: C2/m
* offset from the most stable computed form: 0.000 eV per atom
* calculated volume: 76.93 A^3/atom
* energy of formation: -152.8 meV/atom
* VASP energy: -1.13 eV per atom
* mass density: 3.260 Mg/m³
* size of the total moment: 0.000 Bohr magnetons per cell



A plane-wave DFT calculation with PBE-GGA was carried out for an optimized crystal structure of Cs3HgAu3.

Unit cell a=10.689 b=10.689 c=7.244 alpha=90.00 beta=90.00 gamma=120.00
Positions (direct):
Cs 0.052 0.697 0.250
Cs 0.303 0.355 0.250
Cs 0.355 0.052 0.750
Cs 0.645 0.948 0.250
Cs 0.697 0.645 0.750
Cs 0.948 0.303 0.750
Hg 0.333 0.667 0.750
Hg 0.667 0.333 0.250
Au 0.061 0.684 0.750
Au 0.316 0.377 0.750
Au 0.377 0.061 0.250
Au 0.623 0.939 0.750
Au 0.684 0.623 0.250
Au 0.939 0.316 0.250

* SG: P6_3/m
* offset from the most stable computed form: 0.038 eV per atom
* calculated volume: 51.20 A^3/atom
* energy of formation: -272.3 meV/atom
* VASP energy: -2.09 eV per atom
* mass density: 5.515 Mg/m³
* size of the total moment: 0.000 Bohr magnetons per cell



A plane-wave DFT calculation with PBE-GGA was carried out for an optimized crystal structure of CsHg6Au2.

Unit cell a=8.081 b=8.081 c=4.539 alpha=106.30 beta=106.30 gamma=90.27
Positions (direct):
Cs 0.000 0.000 0.000
Hg 0.136 0.435 0.792
Hg 0.269 0.731 0.500
Hg 0.435 0.136 0.792
Hg 0.565 0.864 0.208
Hg 0.731 0.269 0.500
Hg 0.864 0.565 0.208
Au 0.361 0.361 0.371
Au 0.639 0.639 0.629

* SG: C2/m
* offset from the most stable computed form: 0.019 eV per atom
* calculated volume: 30.22 A^3/atom
* energy of formation: -86.3 meV/atom
* VASP energy: -1.11 eV per atom
* mass density: 10.566 Mg/m³
* size of the total moment: 0.000 Bohr magnetons per cell



A plane-wave DFT calculation with PBE-GGA was carried out for an optimized crystal structure of Cs2Hg2Au.

Unit cell a=7.178 b=7.178 c=13.213 alpha=114.70 beta=114.70 gamma=42.68
Positions (direct):
Cs 0.004 0.004 0.345
Cs 0.201 0.201 0.122
Cs 0.799 0.799 0.878
Cs 0.996 0.996 0.655
Hg 0.320 0.320 0.443
Hg 0.492 0.492 0.117
Hg 0.508 0.508 0.883
Hg 0.680 0.680 0.557
Au 0.295 0.295 0.668
Au 0.705 0.705 0.332

* SG: C2/m
* offset from the most stable computed form: 0.000 eV per atom
* calculated volume: 41.25 A^3/atom
* energy of formation: -286.0 meV/atom
* VASP energy: -1.40 eV per atom
* mass density: 6.956 Mg/m³
* size of the total moment: 0.000 Bohr magnetons per cell